(1)
Density functional theory data (PBE) for a relaxed structure of ZnCdNi2.

a b c (Å): 4.267 4.267 4.267
angles (deg): 60.00 60.00 60.00
Sites, in units of the cell vectors:
Cd (0.250, 0.250, 0.250)
Ni (0.500, 0.500, 0.500)
Ni (0.750, 0.750, 0.750)
Zn (0.000, 0.000, 0.000)

Summary:
- space group = F-43m
- energy of formation (eV/atom) = 0.039
- total magnetic moment (μB per atom) = 0.001
- volume (Å³/cell) = 54.9

***

(2)
Density functional theory data (PBE) for a relaxed structure of ZrCd2Ni.

a b c (Å): 4.656 4.656 4.656
angles (deg): 60.00 60.00 60.00
Sites, in units of the cell vectors:
Cd (0.000, 0.000, 0.000)
Cd (0.750, 0.750, 0.750)
Ni (0.500, 0.500, 0.500)
Zr (0.250, 0.250, 0.250)

Summary:
- space group = F-43m
- energy of formation (eV/atom) = -0.090
- total magnetic moment (μB per atom) = 0.001
- volume (Å³/cell) = 71.4

***

(3)
Density functional theory data (PBE) for a relaxed structure of ZrCdNi.

a b c (Å): 8.434 8.434 4.034
angles (deg): 90.00 90.00 157.52
Sites, in units of the cell vectors:
Cd (0.795, 0.205, 0.250)
Cd (0.205, 0.795, 0.750)
Ni (0.955, 0.045, 0.250)
Ni (0.045, 0.955, 0.750)
Zr (0.586, 0.414, 0.250)
Zr (0.414, 0.586, 0.750)

Summary:
- space group = Cmcm
- energy of formation (eV/atom) = -0.358
- total magnetic moment (μB per atom) = 0.001
- volume (Å³/cell) = 109.7

***

(4)
Density functional theory data (PBE) for a relaxed structure of ZrCd2Ni.

a b c (Å): 4.663 4.663 4.663
angles (deg): 60.00 60.00 60.00
Sites, in units of the cell vectors:
Cd (0.000, 0.000, 0.000)
Cd (0.250, 0.250, 0.250)
Ni (0.750, 0.750, 0.750)
Zr (0.500, 0.500, 0.500)

Summary:
- space group = F-43m
- energy of formation (eV/atom) = -0.092
- total magnetic moment (μB per atom) = 0.000
- volume (Å³/cell) = 71.7

***

(5)
Density functional theory data (PBE) for a relaxed structure of NpCd.

a b c (Å): 2.932 2.932 5.561
angles (deg): 90.00 90.00 120.00
Sites, in units of the cell vectors:
Cd (0.667, 0.333, 0.750)
Np (0.333, 0.667, 0.250)

Summary:
- space group = P-6m2
- energy of formation (eV/atom) = 0.154
- total magnetic moment (μB per atom) = 1.624
- volume (Å³/cell) = 41.4

***

(6)
Density functional theory data (PBE) for a relaxed structure of NpCd11.

a b c (Å): 9.307 9.307 9.307
angles (deg): 90.00 90.00 90.00
Sites, in units of the cell vectors:
Cd (0.344, 0.344, 0.000)
Cd (0.656, 0.344, 0.000)
Cd (0.344, 0.656, 0.000)
Cd (0.656, 0.656, 0.000)
Cd (0.157, 0.157, 0.157)
Cd (0.843, 0.157, 0.157)
Cd (0.157, 0.843, 0.157)
Cd (0.843, 0.843, 0.157)
Cd (0.500, 0.264, 0.264)
Cd (0.264, 0.500, 0.264)
Cd (0.736, 0.500, 0.264)
Cd (0.500, 0.736, 0.264)
Cd (0.344, 0.000, 0.344)
Cd (0.656, 0.000, 0.344)
Cd (0.000, 0.344, 0.344)
Cd (0.000, 0.656, 0.344)
Cd (0.264, 0.264, 0.500)
Cd (0.736, 0.264, 0.500)
Cd (0.500, 0.500, 0.500)
Cd (0.264, 0.736, 0.500)
Cd (0.736, 0.736, 0.500)
Cd (0.344, 0.000, 0.656)
Cd (0.656, 0.000, 0.656)
Cd (0.000, 0.344, 0.656)
Cd (0.000, 0.656, 0.656)
Cd (0.500, 0.264, 0.736)
Cd (0.264, 0.500, 0.736)
Cd (0.736, 0.500, 0.736)
Cd (0.500, 0.736, 0.736)
Cd (0.157, 0.157, 0.843)
Cd (0.843, 0.157, 0.843)
Cd (0.157, 0.843, 0.843)
Cd (0.843, 0.843, 0.843)
Np (0.500, 0.000, 0.000)
Np (0.000, 0.500, 0.000)
Np (0.000, 0.000, 0.500)

Summary:
- space group = Pm-3m
- energy of formation (eV/atom) = 0.138
- total magnetic moment (μB per atom) = 0.008
- volume (Å³/cell) = 806.1

***

(7)
Density functional theory data (PBE) for a relaxed structure of NpCd.

a b c (Å): 4.406 4.406 4.406
angles (deg): 60.00 60.00 60.00
Last column: magnetic moment on the atom in μB.
Sites, in units of the cell vectors:
Cd (0.000, 0.000, 0.000)  0.12
Np (0.500, 0.500, 0.500)  4.39

Summary:
- space group = Fm-3m
- energy of formation (eV/atom) = 0.936
- total magnetic moment (μB per atom) = 2.726
- volume (Å³/cell) = 60.5

***

(8)
Density functional theory data (PBE) for a relaxed structure of NpCd.

a b c (Å): 4.897 4.897 4.897
angles (deg): 60.00 60.00 60.00
Last column: magnetic moment on the atom in μB.
Sites, in units of the cell vectors:
Cd (0.000, 0.000, 0.000)  0.07
Np (0.250, 0.250, 0.250)  4.40

Summary:
- space group = F-43m
- energy of formation (eV/atom) = 1.627
- total magnetic moment (μB per atom) = 2.519
- volume (Å³/cell) = 83.0

***

Question: Which formula does entry 5 have?
Answer: NpCd

***

Repeat the fourth record exactly.
Density functional theory data (PBE) for a relaxed structure of ZrCd2Ni.

a b c (Å): 4.663 4.663 4.663
angles (deg): 60.00 60.00 60.00
Sites, in units of the cell vectors:
Cd (0.000, 0.000, 0.000)
Cd (0.250, 0.250, 0.250)
Ni (0.750, 0.750, 0.750)
Zr (0.500, 0.500, 0.500)

Summary:
- space group = F-43m
- energy of formation (eV/atom) = -0.092
- total magnetic moment (μB per atom) = 0.000
- volume (Å³/cell) = 71.7